Record 1
# La10Dy4Er

Crystalline La10Dy4Er at its relaxed geometry (PBE, the Alexandria database).

```
data_La10Dy4Er
_chemical_formula_sum 'La20 Dy8 Er2'
_space_group_name_H-M_alt 'I 4/m'
_space_group_IT_number 87
_space_group_name_Hall '-I 4'
_cell_length_a 12.475
_cell_length_b 12.475
_cell_length_c 7.942
_cell_angle_alpha 90.00
_cell_angle_beta 90.00
_cell_angle_gamma 90.00
loop_
_atom_site_label
_atom_site_fract_x
_atom_site_fract_y
_atom_site_fract_z
_atom_site_occupancy
La1 0.000 0.500 0.250 1
La2 0.099 0.800 0.249 1
Dy1 0.100 0.300 0.500 1
Er1 0.000 0.000 0.000 1
```

Record 2
# La5DyEr

Crystalline La5DyEr at its relaxed geometry (PBE, the Alexandria database).

```
data_La5DyEr
_chemical_formula_sum 'La20 Dy4 Er4'
_space_group_name_H-M_alt 'C 1 2/c 1'
_space_group_IT_number 15
_space_group_name_Hall '-C 2yc'
_cell_length_a 6.262
_cell_length_b 17.718
_cell_length_c 9.214
_cell_angle_alpha 90.00
_cell_angle_beta 101.31
_cell_angle_gamma 90.00
loop_
_atom_site_label
_atom_site_fract_x
_atom_site_fract_y
_atom_site_fract_z
_atom_site_occupancy
La1 0.000 0.138 0.250 1
La2 0.109 0.349 0.966 1
La3 0.204 0.185 0.648 1
Dy1 0.000 0.000 0.000 1
Er1 0.000 0.490 0.250 1
```

Record 3
# La2Dy3Er3

Crystalline La2Dy3Er3 at its relaxed geometry (PBE, the Alexandria database).

## Properties
Energy relative to the lowest polymorph listed for this composition   0.000 eV/atom

```
data_La2Dy3Er3
_chemical_formula_sum 'La4 Dy6 Er6'
_space_group_name_H-M_alt 'I m m m'
_space_group_IT_number 71
_space_group_name_Hall '-I 2 2'
_cell_length_a 5.089
_cell_length_b 5.090
_cell_length_c 20.074
_cell_angle_alpha 90.00
_cell_angle_beta 90.00
_cell_angle_gamma 90.00
loop_
_atom_site_label
_atom_site_fract_x
_atom_site_fract_y
_atom_site_fract_z
_atom_site_occupancy
La1 0.000 0.000 0.250 1
Dy1 0.000 0.000 0.000 1
Dy2 0.000 0.500 0.121 1
Er1 0.000 0.000 0.500 1
Er2 0.000 0.500 0.379 1
```

Record 4
# LaDy5Er

Crystalline LaDy5Er at its relaxed geometry (PBE, the Alexandria database).

## Properties
Energy relative to the lowest polymorph listed for this composition   0.905 eV/atom

```
data_LaDy5Er
_chemical_formula_sum 'La2 Dy10 Er2'
_space_group_name_H-M_alt 'I m m m'
_space_group_IT_number 71
_space_group_name_Hall '-I 2 2'
_cell_length_a 5.793
_cell_length_b 8.641
_cell_length_c 11.862
_cell_angle_alpha 90.00
_cell_angle_beta 90.00
_cell_angle_gamma 90.00
loop_
_atom_site_label
_atom_site_fract_x
_atom_site_fract_y
_atom_site_fract_z
_atom_site_occupancy
La1 0.000 0.000 0.000 1
Dy1 0.000 0.000 0.253 1
Dy2 0.000 0.320 0.500 1
Dy3 0.000 0.500 0.000 1
Er1 0.000 0.000 0.500 1
```

Record 5
# La3Dy5Er2

Crystalline La3Dy5Er2 at its relaxed geometry (PBE, the Alexandria database).

```
data_La3Dy5Er2
_chemical_formula_sum 'La12 Dy20 Er8'
_space_group_name_H-M_alt 'C 1 2/c 1'
_space_group_IT_number 15
_space_group_name_Hall '-C 2yc'
_cell_length_a 10.751
_cell_length_b 16.273
_cell_length_c 9.375
_cell_angle_alpha 90.00
_cell_angle_beta 124.76
_cell_angle_gamma 90.00
loop_
_atom_site_label
_atom_site_fract_x
_atom_site_fract_y
_atom_site_fract_z
_atom_site_occupancy
La1 0.000 0.235 0.250 1
La2 0.142 0.127 0.044 1
Dy1 0.000 0.026 0.250 1
Dy2 0.000 0.275 0.750 1
Dy3 0.000 0.470 0.750 1
Dy4 0.235 0.389 0.224 1
Er1 0.152 0.385 0.545 1
```

Record 6
# LaDy6Er2

Crystalline LaDy6Er2 at its relaxed geometry (PBE, the Alexandria database).

## Properties
Energy relative to the lowest polymorph listed for this composition   0.000 eV/atom

```
data_LaDy6Er2
_chemical_formula_sum 'La2 Dy12 Er4'
_space_group_name_H-M_alt 'C 1 2/m 1'
_space_group_IT_number 12
_space_group_name_Hall '-C 2y'
_cell_length_a 9.143
_cell_length_b 17.686
_cell_length_c 3.614
_cell_angle_alpha 90.00
_cell_angle_beta 99.16
_cell_angle_gamma 90.00
loop_
_atom_site_label
_atom_site_fract_x
_atom_site_fract_y
_atom_site_fract_z
_atom_site_occupancy
La1 0.000 0.000 0.000 1
Dy1 0.160 0.500 0.332 1
Dy2 0.168 0.334 0.839 1
Er1 0.000 0.172 0.500 1
```

Record 7
# La12Dy5Er

Crystalline La12Dy5Er at its relaxed geometry (PBE, the Alexandria database).

```
data_La12Dy5Er
_chemical_formula_sum 'La24 Dy10 Er2'
_space_group_name_H-M_alt 'C 1 2/m 1'
_space_group_IT_number 12
_space_group_name_Hall '-C 2y'
_cell_length_a 6.369
_cell_length_b 11.042
_cell_length_c 18.070
_cell_angle_alpha 90.00
_cell_angle_beta 96.64
_cell_angle_gamma 90.00
loop_
_atom_site_label
_atom_site_fract_x
_atom_site_fract_y
_atom_site_fract_z
_atom_site_occupancy
La1 0.113 0.000 0.337 1
La2 0.113 0.333 0.337 1
La3 0.220 0.166 0.164 1
La4 0.221 0.500 0.164 1
Dy1 0.000 0.167 0.500 1
Dy2 0.000 0.333 0.000 1
Dy3 0.000 0.500 0.500 1
Er1 0.000 0.000 0.000 1
```

Record 8
# La4Dy6Er

Crystalline La4Dy6Er at its relaxed geometry (PBE, the Alexandria database).

```
data_La4Dy6Er
_chemical_formula_sum 'La8 Dy12 Er2'
_space_group_name_H-M_alt 'I -4 2 m'
_space_group_IT_number 121
_space_group_name_Hall 'I -4 2'
_cell_length_a 6.774
_cell_length_b 6.774
_cell_length_c 16.899
_cell_angle_alpha 90.00
_cell_angle_beta 90.00
_cell_angle_gamma 90.00
loop_
_atom_site_label
_atom_site_fract_x
_atom_site_fract_y
_atom_site_fract_z
_atom_site_occupancy
La1 0.190 0.190 0.323 1
Dy1 0.000 0.500 0.000 1
Dy2 0.174 0.174 0.117 1
Er1 0.000 0.000 0.500 1
```

Record 9
# La3Dy4Er2

Crystalline La3Dy4Er2 at its relaxed geometry (PBE, the Alexandria database).

## Properties
Energy relative to the lowest polymorph listed for this composition   0.000 eV/atom

```
data_La3Dy4Er2
_chemical_formula_sum 'La6 Dy8 Er4'
_space_group_name_H-M_alt 'C 1 2/m 1'
_space_group_IT_number 12
_space_group_name_Hall '-C 2y'
_cell_length_a 11.693
_cell_length_b 5.765
_cell_length_c 9.139
_cell_angle_alpha 90.00
_cell_angle_beta 101.78
_cell_angle_gamma 90.00
loop_
_atom_site_label
_atom_site_fract_x
_atom_site_fract_y
_atom_site_fract_z
_atom_site_occupancy
La1 0.000 0.000 0.000 1
La2 0.128 0.000 0.691 1
Dy1 0.177 0.500 0.962 1
Dy2 0.225 0.000 0.370 1
Er1 0.060 0.500 0.308 1
```

Record 10
# La6DyEr2

Crystalline La6DyEr2 at its relaxed geometry (PBE, the Alexandria database).

## Properties
Energy relative to the lowest polymorph listed for this composition   0.000 eV/atom

```
data_La6DyEr2
_chemical_formula_sum 'La6 Dy1 Er2'
_space_group_name_H-M_alt 'P -6 m 2'
_space_group_IT_number 187
_space_group_name_Hall 'P -6 2'
_cell_length_a 3.6521
_cell_length_b 3.6521
_cell_length_c 27.5588
_cell_angle_alpha 90.00
_cell_angle_beta 90.00
_cell_angle_gamma 120.00
loop_
_atom_site_label
_atom_site_fract_x
_atom_site_fract_y
_atom_site_fract_z
_atom_site_occupancy
La1 0.0000 0.0000 0.0669 1
La2 0.0000 0.0000 0.2761 1
La3 0.3333 0.6667 0.3935 1
Dy1 0.0000 0.0000 0.5000 1
Er1 0.3333 0.6667 0.1704 1
```

| no. | total energy (eV per formula unit) |
| --- | --- |
| 1 | -62.73 |
| 2 | -32.63 |
| 3 | -37.09 |
| 4 | -24.78 |
| 5 | -45.01 |
| 6 | -40.55 |
| 7 | -86.41 |
| 8 | -48.70 |
| 9 | -41.35 |
| 10 | -42.79 |